[1]
## GaCoRh2 (PBE)

Data for a relaxed structure of GaCoRh2.

Cell: 6.0414 6.0414 6.0414 Å, 47.61 154.41 140.55°
Last column: magnetic moment on the atom in μB.
Fractional coordinates of all 4 atoms:
Rh 0.0000 0.7883 0.7883  0.13
Rh 0.0000 0.2117 0.2117  0.13
Ga 0.0000 0.5000 0.5000  -0.02
Co 0.0000 0.0000 0.0000  0.70

Output
Spin magnetization: 0.94 μB per formula unit
N(E_F): 4.6 states/eV/cell
SG: Immm (71)
Energy of formation: 212 meV per atom



[2]
## Ga3CoRh (PBE)

Data for a relaxed structure of Ga3CoRh.

Cell: 4.4140 4.4140 4.4140 Å, 90.00 90.00 90.00°
Fractional coordinates of all 5 atoms:
Ga 0.5000 0.0000 0.0000
Rh 0.5000 0.5000 0.5000
Ga 0.0000 0.5000 0.0000
Co 0.0000 0.0000 0.0000
Ga 0.0000 0.0000 0.5000

Output
ΔE to the lowest computed polymorph: 597 meV per atom
Spin magnetization: 0.00 μB per formula unit
N(E_F): 4.2 states/eV/cell
SG: Pm-3m (221)
Energy of formation: 209 meV per atom



[3]
## Ga6CoRh5 (PBE)

Data for a relaxed structure of Ga6CoRh5.

Cell: 4.2653 6.0195 7.3919 Å, 114.03 106.77 90.00°
Fractional coordinates of all 12 atoms:
Ga 0.1634 0.4090 0.3268
Rh 0.3326 0.8326 0.6652
Rh 0.6661 0.6661 0.3321
Ga 0.8366 0.5910 0.6732
Rh 0.0000 0.5000 0.0000
Ga 0.5000 0.7583 0.0000
Co 0.0000 0.0000 0.0000
Rh 0.3339 0.3339 0.6679
Ga 0.8366 0.0822 0.6732
Ga 0.1634 0.9178 0.3268
Ga 0.5000 0.2417 0.0000
Rh 0.6674 0.1674 0.3348

Output
Spin magnetization: 0.00 μB per formula unit
N(E_F): 4.4 states/eV/cell
SG: Immm (71)
Energy of formation: -604 meV per atom



[4]
## Ga4Co2Rh (PBE)

Data for a relaxed structure of Ga4Co2Rh.

Cell: 5.0489 5.0489 5.0489 Å, 110.84 108.79 108.79°
Last column: magnetic moment on the atom in μB.
Fractional coordinates of all 7 atoms:
Co 0.5000 0.5000 0.0000  0.37
Rh 0.0000 0.0000 0.0000  0.05
Co 0.5000 0.0000 0.5000  0.37
Ga 0.0000 0.0000 0.5000  -0.01
Ga 0.0000 0.5000 0.0000  -0.01
Ga 0.5000 0.0000 0.0000  -0.01
Ga 0.5000 0.5000 0.5000  -0.01

Output
Spin magnetization: 0.73 μB per formula unit
N(E_F): 2.4 states/eV/cell
SG: I4/mmm (139)
Energy of formation: -340 meV per atom



[5]
## Ga2Co2Rh (PBE)

Data for a relaxed structure of Ga2Co2Rh.

Cell: 6.8627 6.8627 2.7485 Å, 90.00 90.00 90.00°
Last column: magnetic moment on the atom in μB.
Fractional coordinates of all 10 atoms:
Ga 0.8223 0.3223 0.5000  -0.04
Ga 0.1777 0.6777 0.5000  -0.04
Co 0.8798 0.6202 0.0000  0.70
Co 0.3798 0.8798 0.0000  0.72
Co 0.6202 0.1202 0.0000  0.72
Rh 0.0000 0.0000 0.0000  0.29
Co 0.1202 0.3798 0.0000  0.70
Rh 0.5000 0.5000 0.0000  0.29
Ga 0.6777 0.8223 0.5000  -0.04
Ga 0.3223 0.1777 0.5000  -0.04

Output
ΔE to the lowest computed polymorph: 30 meV per atom
Spin magnetization: 1.61 μB per formula unit
N(E_F): 12.9 states/eV/cell
SG: P4/mbm (127)
Energy of formation: -119 meV per atom



[6]
## GaCoRh3 (PBE)

Data for a relaxed structure of GaCoRh3.

Cell: 4.4567 4.4567 4.4567 Å, 90.00 90.00 90.00°
Last column: magnetic moment on the atom in μB.
Fractional coordinates of all 5 atoms:
Rh 0.5000 0.0000 0.0000  0.34
Ga 0.5000 0.5000 0.5000  -0.01
Rh 0.0000 0.0000 0.5000  0.94
Rh 0.0000 0.5000 0.0000  0.55
Co 0.0000 0.0000 0.0000  1.67

Output
ΔE to the lowest computed polymorph: 0 meV per atom
Spin magnetization: 3.50 μB per formula unit
N(E_F): 5.3 states/eV/cell
SG: Pm-3m (221)
Energy of formation: 842 meV per atom



[7]
## GaCoRh2 (PBE)

Data for a relaxed structure of GaCoRh2.

Cell: 4.2664 4.2664 4.2665 Å, 60.00 60.00 60.00°
Last column: magnetic moment on the atom in μB.
Fractional coordinates of all 4 atoms:
Rh 0.0000 0.0000 0.9999  0.51
Ga 0.7500 0.7500 0.7500  -0.04
Rh 0.2500 0.2500 0.2500  0.71
Co 0.5000 0.5000 0.5001  1.66

Output
Spin magnetization: 2.79 μB per formula unit
N(E_F): 5.0 states/eV/cell
SG: F-43m (216)
Energy of formation: -91 meV per atom



[8]
## Ga5CoRh4 (PBE)

Data for a relaxed structure of Ga5CoRh4.

Cell: 3.0179 3.0179 14.9550 Å, 90.00 90.00 90.00°
Last column: magnetic moment on the atom in μB.
Fractional coordinates of all 10 atoms:
Ga 0.5000 0.5000 0.5000  0.00
Ga 0.5000 0.5000 0.0906  -0.01
Rh 0.0000 0.0000 0.3980  0.00
Rh 0.0000 0.0000 0.1940  -0.01
Ga 0.5000 0.5000 0.9094  -0.01
Co 0.0000 0.0000 0.0000  0.48
Rh 0.0000 0.0000 0.8060  -0.01
Ga 0.5000 0.5000 0.7048  0.00
Ga 0.5000 0.5000 0.2952  0.00
Rh 0.0000 0.0000 0.6020  0.00

Output
Spin magnetization: 0.42 μB per formula unit
N(E_F): 3.0 states/eV/cell
SG: P4/mmm (123)
Energy of formation: -601 meV per atom